No. 1
Below is crystalline Ac2LaTl at its relaxed geometry, with properties calculated at the GGA-PBE level.

## Properties
SG ... Cm
Energy above the most stable polymorph in this dataset ... 90 meV per atom
Total moment ... 0.0 μB per formula unit
Calculated volume ... 160 Å³/f.u.
Crystal system ... monoclinic

Lattice parameters (Å, degrees): 3.9896 3.9896 11.8193 99.81 99.81 59.97
Last column: nearest neighbours and their distance in Å.
Sites, in units of the cell vectors:
Ac: 0.0000 0.0000 0.0000  3 Tl 3.52, 3 La 3.88
Ac: 0.1799 0.1799 0.5408  3 Tl 3.52, 3 La 3.89-3.90
La: 0.4229 0.4229 0.2696  6 Ac 3.88-3.90, 6 La 3.99
Tl: 0.5900 0.5900 0.7706  6 Ac 3.52


No. 2
Below is crystalline Ac3La4Tl4 at its relaxed geometry, with properties calculated at the GGA-PBE level.

## Properties
SG ... Immm
Total moment ... 0.0 μB per formula unit
Calculated volume ... 402 Å³/f.u.
Crystal system ... orthorhombic

Lattice parameters (Å, degrees): 11.3874 11.3874 11.3874 159.67 128.23 56.19
Last column: nearest neighbours and their distance in Å.
Sites, in units of the cell vectors:
Ac: 0.0000 0.0000 0.0000  4 Tl 3.45
Ac: 0.4022 0.9022 0.5000  6 Tl 3.39-3.55
Ac: 0.5978 0.0978 0.5000  6 Tl 3.39-3.55
La: 0.0164 0.3349 0.6815  4 Tl 3.38-3.46, 1 La 3.61
La: 0.3467 0.6651 0.6815  4 Tl 3.38-3.46, 1 La 3.61
La: 0.6533 0.3349 0.3185  4 Tl 3.38-3.46, 1 La 3.61
La: 0.9836 0.6651 0.3185  4 Tl 3.38-3.46, 1 La 3.61
Tl: 0.2662 0.2662 0.0000  6 La 3.38-3.45, 2 Ac 3.39
Tl: 0.2814 0.5000 0.7814  6 Ac 3.45-3.55, 2 La 3.46
Tl: 0.7186 0.5000 0.2186  6 Ac 3.45-3.55, 2 La 3.46
Tl: 0.7338 0.7338 0.0000  6 La 3.38-3.45, 2 Ac 3.39


No. 3
Below is crystalline Ac8LaTl2 at its relaxed geometry, with properties calculated at the GGA-PBE level.

## Properties
SG ... C2/m
Total moment ... 0.0 μB per formula unit
Calculated volume ... 463 Å³/f.u.
Crystal system ... monoclinic

Lattice parameters (Å, degrees): 10.2498 10.2498 6.9053 108.42 108.42 42.71
Last column: nearest neighbours and their distance in Å.
Sites, in units of the cell vectors:
Ac: 0.0828 0.0828 0.4296  1 Tl 3.35, 1 Ac 3.61
Ac: 0.1477 0.6451 0.0256  2 Tl 3.40-3.54, 1 La 3.70, 3 Ac 3.71-3.80
Ac: 0.2895 0.2895 0.3925  2 Tl 3.56-3.58, 1 La 3.83
Ac: 0.3549 0.8523 0.9744  2 Tl 3.40-3.54, 1 La 3.70, 3 Ac 3.71-3.80
Ac: 0.6451 0.1477 0.0256  2 Tl 3.40-3.54, 1 La 3.70, 3 Ac 3.71-3.80
Ac: 0.7105 0.7105 0.6075  2 Tl 3.56-3.58, 1 La 3.83
Ac: 0.8523 0.3549 0.9744  2 Tl 3.40-3.54, 1 La 3.70, 3 Ac 3.71-3.80
Ac: 0.9172 0.9172 0.5704  1 Tl 3.35, 1 Ac 3.61
La: 0.5000 0.5000 0.5000  6 Ac 3.70-3.83
Tl: 0.2384 0.2384 0.8433  7 Ac 3.35-3.58
Tl: 0.7616 0.7616 0.1567  7 Ac 3.35-3.58


No. 4
Below is crystalline Ac8La6Tl at its relaxed geometry, with properties calculated at the GGA-PBE level.

## Properties
SG ... P-3
Total moment ... 0.0 μB per formula unit
Calculated volume ... 641 Å³/f.u.
Crystal system ... trigonal

Lattice parameters (Å, degrees): 10.0512 10.0512 7.3271 90.00 90.00 120.00
Last column: nearest neighbours and their distance in Å.
Sites, in units of the cell vectors:
Ac: 0.0381 0.6902 0.3818  2 La 3.41-3.64, 3 Ac 3.75-3.79
Ac: 0.3098 0.3479 0.3818  2 La 3.41-3.64, 3 Ac 3.75-3.79
Ac: 0.3333 0.6667 0.7532  6 Ac 3.79-4.12, 6 La 3.82-3.91
Ac: 0.3479 0.0381 0.6182  2 La 3.41-3.64, 3 Ac 3.75-3.79
Ac: 0.6521 0.9619 0.3818  2 La 3.41-3.64, 3 Ac 3.75-3.79
Ac: 0.6667 0.3333 0.2468  6 Ac 3.79-4.12, 6 La 3.82-3.91
Ac: 0.6902 0.6521 0.6182  2 La 3.41-3.64, 3 Ac 3.75-3.79
Ac: 0.9619 0.3098 0.6182  2 La 3.41-3.64, 3 Ac 3.75-3.79
La: 0.0473 0.3667 0.1035  3 Ac 3.41-3.82, 1 Tl 3.55, 3 La 3.60-3.79
La: 0.3194 0.9527 0.1035  3 Ac 3.41-3.82, 1 Tl 3.55, 3 La 3.60-3.79
La: 0.3667 0.3194 0.8965  3 Ac 3.41-3.82, 1 Tl 3.55, 3 La 3.60-3.79
La: 0.6333 0.6806 0.1035  3 Ac 3.41-3.82, 1 Tl 3.55, 3 La 3.60-3.79
La: 0.6806 0.0473 0.8965  3 Ac 3.41-3.82, 1 Tl 3.55, 3 La 3.60-3.79
La: 0.9527 0.6333 0.8965  3 Ac 3.41-3.82, 1 Tl 3.55, 3 La 3.60-3.79
Tl: 0.0000 0.0000 0.0000  6 La 3.55


No. 5
Below is crystalline AcLaTl3 at its relaxed geometry, with properties calculated at the GGA-PBE level.

## Properties
SG ... I-4m2
Energy above the most stable polymorph in this dataset ... 390 meV per atom
Total moment ... 0.0 μB per formula unit
Calculated volume ... 223 Å³/f.u.
Crystal system ... tetragonal

Lattice parameters (Å, degrees): 12.4743 12.4743 12.4743 151.35 151.35 40.96
Last column: nearest neighbours and their distance in Å.
Sites, in units of the cell vectors:
Ac: 0.0866 0.0866 0.0000  8 Tl 3.62-3.71, 1 Ac 4.05
Ac: 0.9134 0.9134 0.0000  8 Tl 3.62-3.71, 1 Ac 4.05
La: 0.2500 0.7500 0.5000  4 Tl 3.22
La: 0.5000 0.5000 0.0000  8 Tl 3.09-3.39
Tl: 0.3697 0.1280 0.7582  2 Tl 2.98-3.19, 1 La 3.22
Tl: 0.3697 0.6115 0.2418  2 Tl 2.98-3.19, 1 La 3.22
Tl: 0.3885 0.6303 0.7582  2 Tl 2.98-3.19, 1 La 3.22
Tl: 0.5017 0.0017 0.5000  2 La 3.09
Tl: 0.8720 0.6303 0.2418  2 Tl 2.98-3.19, 1 La 3.22
Tl: 0.9983 0.4983 0.5000  2 La 3.09


No. 6
Below is crystalline AcLa2Tl3 at its relaxed geometry, with properties calculated at the GGA-PBE level.

## Properties
SG ... P4/mmm
Total moment ... 0.0 μB per formula unit
Calculated volume ... 197 Å³/f.u.
Crystal system ... tetragonal

Lattice parameters (Å, degrees): 4.0243 4.0243 12.1593 90.00 90.00 90.00
Last column: nearest neighbours and their distance in Å.
Sites, in units of the cell vectors:
Ac: 0.0000 0.0000 0.0000  8 Tl 3.57
La: 0.0000 0.0000 0.3378  8 Tl 3.45-3.46
La: 0.0000 0.0000 0.6622  8 Tl 3.45-3.46
Tl: 0.5000 0.5000 0.1777  4 La 3.45, 4 Ac 3.57
Tl: 0.5000 0.5000 0.5000  8 La 3.46
Tl: 0.5000 0.5000 0.8223  4 La 3.45, 4 Ac 3.57


No. 7
Below is crystalline AcLaTl3 at its relaxed geometry, with properties calculated at the GGA-PBE level.

## Properties
SG ... Pnnm
Energy above the most stable polymorph in this dataset ... 0 meV per atom
Total moment ... 0.0 μB per formula unit
Calculated volume ... 167 Å³/f.u.
Crystal system ... orthorhombic

Lattice parameters (Å, degrees): 8.2265 8.3128 9.7705 90.00 90.00 90.00
Last column: nearest neighbours and their distance in Å.
Sites, in units of the cell vectors:
Ac: 0.1750 0.1668 0.0000  6 Tl 3.36-3.52
Ac: 0.3250 0.6668 0.5000  6 Tl 3.36-3.52
Ac: 0.6750 0.3332 0.5000  6 Tl 3.36-3.52
Ac: 0.8250 0.8332 0.0000  6 Tl 3.36-3.52
La: 0.1723 0.1639 0.5000  6 Tl 3.38-3.50
La: 0.3277 0.6639 0.0000  6 Tl 3.38-3.50
La: 0.6723 0.3361 0.0000  6 Tl 3.38-3.50
La: 0.8277 0.8361 0.5000  6 Tl 3.38-3.50
Tl: 0.0000 0.5000 0.2451  4 Tl 3.23
Tl: 0.0000 0.5000 0.7549  4 Tl 3.23
Tl: 0.1310 0.8667 0.2497  3 Tl 3.09-3.23, 1 Ac 3.36, 1 La 3.38
Tl: 0.1310 0.8667 0.7503  3 Tl 3.09-3.23, 1 Ac 3.36, 1 La 3.38
Tl: 0.3690 0.3667 0.2503  3 Tl 3.09-3.23, 1 Ac 3.36, 1 La 3.38
Tl: 0.3690 0.3667 0.7497  3 Tl 3.09-3.23, 1 Ac 3.36, 1 La 3.38
Tl: 0.5000 0.0000 0.2549  4 Tl 3.23
Tl: 0.5000 0.0000 0.7451  4 Tl 3.23
Tl: 0.6310 0.6333 0.2503  3 Tl 3.09-3.23, 1 Ac 3.36, 1 La 3.38
Tl: 0.6310 0.6333 0.7497  3 Tl 3.09-3.23, 1 Ac 3.36, 1 La 3.38
Tl: 0.8690 0.1333 0.2497  3 Tl 3.09-3.23, 1 Ac 3.36, 1 La 3.38
Tl: 0.8690 0.1333 0.7503  3 Tl 3.09-3.23, 1 Ac 3.36, 1 La 3.38


No. 8
Below is crystalline Ac3La4Tl at its relaxed geometry, with properties calculated at the GGA-PBE level.

## Properties
SG ... P4/mmm
Total moment ... 0.0 μB per formula unit
Calculated volume ... 306 Å³/f.u.
Crystal system ... tetragonal

Lattice parameters (Å, degrees): 3.8902 3.8902 20.2285 90.00 90.00 90.00
Last column: nearest neighbours and their distance in Å.
Sites, in units of the cell vectors:
Ac: 0.0000 0.0000 0.0000  8 La 3.85, 4 Ac 3.89
Ac: 0.0000 0.0000 0.2670  8 La 3.81-3.86, 4 Ac 3.89
Ac: 0.0000 0.0000 0.7330  8 La 3.81-3.86, 4 Ac 3.89
La: 0.5000 0.5000 0.1332  8 Ac 3.85-3.86, 4 La 3.89
La: 0.5000 0.5000 0.3974  4 Tl 3.45, 4 Ac 3.81
La: 0.5000 0.5000 0.6026  4 Tl 3.45, 4 Ac 3.81
La: 0.5000 0.5000 0.8668  8 Ac 3.85-3.86, 4 La 3.89
Tl: 0.0000 0.0000 0.5000  8 La 3.45


no.,DOS(E_F) (states/eV/f.u.),energy of formation (kJ/mol of formula units),calculated total energy (eV for the cell shown)
1,6.42,-28,-15.8
2,14.24,-273,-44.3
3,17.49,-36,-42.9
4,21.76,250,-62.2
5,5.15,27,-31.7
6,6.62,-231,-23.5
7,4.34,-161,-71.2
8,12.64,-70,-35.1